# 1
# PBE-GGA MnAsCl4, optimized geometry
data_MnAsCl4
_chemical_formula_sum 'Mn4 As4 Cl16'
_symmetry_space_group_name_H-M 'F -4 3 m'
_symmetry_Int_Tables_number 216
_symmetry_space_group_name_Hall 'F -4 2 3'
_cell_length_a 8.248
_cell_length_b 8.248
_cell_length_c 8.248
_cell_angle_alpha 90.00
_cell_angle_beta 90.00
_cell_angle_gamma 90.00
loop_
_atom_site_label
_atom_site_type_symbol
_atom_site_fract_x
_atom_site_fract_y
_atom_site_fract_z
Mn1 Mn 0.000 0.000 0.000
As1 As 0.250 0.250 0.750
Cl1 Cl 0.126 0.126 0.374
# Energy relative to the elements, uncorrected   825 meV per atom
# N(E_F)   1.426 states/eV per atom



# 2
# PBE-GGA Ca3Mg, optimized geometry
data_Ca3Mg
_chemical_formula_sum 'Ca3 Mg1'
_symmetry_space_group_name_H-M 'P -6 m 2'
_symmetry_Int_Tables_number 187
_symmetry_space_group_name_Hall 'P -6 2'
_cell_length_a 3.8216
_cell_length_b 3.8216
_cell_length_c 11.8985
_cell_angle_alpha 90.00
_cell_angle_beta 90.00
_cell_angle_gamma 120.00
loop_
_atom_site_label
_atom_site_type_symbol
_atom_site_fract_x
_atom_site_fract_y
_atom_site_fract_z
Ca1 Ca 0.0000 0.0000 0.0000
Ca2 Ca 0.6667 0.3333 0.2721
Mg1 Mg 0.0000 0.0000 0.5000
# N(E_F)   1.106 states/eV per atom
# Formation enthalpy at 0 K   0.038 eV per atom



V values (in A^3/atom) by entry order: 23.38; 37.62.